Ca2TiMn after structural relaxation. Source: Alexandria via LeMat-Bulk, functional PBE.

Summary:
formation energy	679	meV per atom
distance to the lowest polymorph of the same formula	0	meV/atom
space group	I-42d, No. 122
DOS at the Fermi energy	5.5	states/eV/f.u.

extended XYZ file:
```
8
Lattice="-7.703 5.965 5.082 -6.619 -8.767 0.258 -6.338 -1.966 4.582" Properties=species:S:1:pos:R:3 pbc="T T T"
Ti -10.059 -6.067 3.755
Ti -7.161 -1.401 2.670
Ca -8.473 3.107 5.177
Ca -11.737 3.422 7.893
Ca -13.140 -0.226 6.202
Ca -9.052 -1.106 5.397
Mn -10.601 1.299 6.167
Mn 0.000 0.000 0.000
```